Computed, not measured: a crystal of Re2TcOs relaxed with PBEsol at the meta-GGA SCAN level of DFT.

Structure (extended XYZ):
```
8
Lattice="9.043 0.000 0.000 0.000 2.726 0.000 -0.824 0.000 4.652" Properties=species:S:1:pos:R:3 pbc="T T T"
Re 0.000 0.000 0.000
Re 2.019 1.363 1.188
Re 4.521 1.363 0.000
Re 6.540 0.000 1.188
Tc 1.577 0.000 3.486
Tc 6.098 1.363 3.486
Os 8.626 1.363 2.337
Os 4.104 0.000 2.337
```

Output
Total magnetic moment, μB/f.u.: 0.000
E_tot, eV/atom: -62.2452
Energy of formation from the pure elements, eV per atom: 0.04
SG: Cm, No. 8